1.
Below is Mg3PdPt2 after structural relaxation, with properties calculated at the GGA-PBE level.

Properties
DFT formation energy, eV per atom: -0.83
Space-group type: Cmmm, No. 65

Unit cell a=6.760 b=6.760 c=3.489 alpha=90.00 beta=90.00 gamma=143.13
Fractional positions:
Mg: 0.000 0.000 0.000
Mg: 0.332 0.668 0.000
Mg: 0.668 0.332 0.000
Pd: 0.500 0.500 0.500
Pt: 0.166 0.834 0.500
Pt: 0.834 0.166 0.500

2.
Below is MgPdPt after structural relaxation, with properties calculated at the GGA-PBE level.

Properties
DFT formation energy, eV per atom: -0.43
Space-group type: P6_222, No. 180
Relative energy among the computed polymorphs, kcal/mol of atoms: 3.99

Unit cell a=5.154 b=5.154 c=13.825 alpha=90.00 beta=90.00 gamma=120.00
Fractional positions:
Mg: 0.000 0.000 0.000
Mg: 0.000 0.000 0.333
Mg: 0.000 0.000 0.667
Mg: 0.000 0.500 0.167
Mg: 0.500 0.000 0.500
Mg: 0.500 0.500 0.833
Pd: 0.000 0.500 0.498
Pd: 0.000 0.500 0.836
Pd: 0.500 0.000 0.169
Pd: 0.500 0.000 0.831
Pd: 0.500 0.500 0.164
Pd: 0.500 0.500 0.502
Pt: 0.324 0.662 0.667
Pt: 0.338 0.662 0.333
Pt: 0.338 0.676 0.000
Pt: 0.662 0.324 0.000
Pt: 0.662 0.338 0.333
Pt: 0.676 0.338 0.667

3.
Below is PuMgPdPt after structural relaxation, with properties calculated at the GGA-PBE level.

Properties
DFT formation energy, eV per atom: -0.62
Space-group type: F-43m, No. 216

Unit cell a=4.798 b=4.798 c=4.798 alpha=60.00 beta=60.00 gamma=60.00
Fractional positions:
Pu: 0.000 0.000 0.000
Mg: 0.500 0.500 0.500
Pd: 0.250 0.250 0.250
Pt: 0.750 0.750 0.750